# PBE-GGA CaH2Rh, relaxed
# N(E_F) = 1.8 states/eV/f.u.
# final energy = -3.859 eV/atom
# distance to the lowest polymorph of the same formula = 722 meV/atom
data_CaH2Rh
_symmetry_space_group_name_H-M 'F m -3 m'
_symmetry_Int_Tables_number 225
_symmetry_space_group_name_Hall '-F 4 2 3'
_cell_length_a 5.6910
_cell_length_b 5.6910
_cell_length_c 5.6910
_cell_angle_alpha 90.00
_cell_angle_beta 90.00
_cell_angle_gamma 90.00
loop_
_atom_site_label
_atom_site_type_symbol
_atom_site_fract_x
_atom_site_fract_y
_atom_site_fract_z
Ca1 Ca 0.0000 0.0000 0.0000
H1 H 0.2500 0.2500 0.2500
Rh1 Rh 0.0000 0.0000 0.5000